(1)
CrPtPb2I: relaxed, PBE-GGA.

Results
Formation energy (no corrections) = 379 kJ/mol of formula units
Crystal system = tetragonal

Lattice parameters (Å, degrees): 5.325 4.996 5.325 90.00 90.00 90.00
Site moments in Bohr magnetons follow the coordinates.
Atoms (fractional coordinates):
Pb1 0.000 0.000 0.500  -0.06
Pb2 0.500 0.000 0.000  -0.10
I1 0.000 0.500 0.000  0.03
Pt1 0.500 0.500 0.500  0.04
Cr1 0.000 0.000 0.000  2.55

=====

(2)
Ni2Ag2Pd: relaxed, PBE-GGA.

Results
Energy relative to the lowest polymorph listed for this composition = 0.076 eV/atom
Crystal system = tetragonal
ΔE_f = 0.402 eV/atom

Lattice parameters (Å, degrees): 7.410 7.410 2.779 90.00 90.00 90.00
Site moments in Bohr magnetons follow the coordinates.
Atoms (fractional coordinates):
Ni1 0.165 0.665 0.500  0.16
Ni2 0.665 0.835 0.500  0.16
Ni3 0.835 0.335 0.500  0.16
Ni4 0.335 0.165 0.500  0.16
Pd1 0.000 0.000 0.000  0.01
Pd2 0.500 0.500 0.000  0.01
Ag1 0.366 0.866 0.000  0.00
Ag2 0.866 0.634 0.000  0.00
Ag3 0.634 0.134 0.000  0.00
Ag4 0.134 0.366 0.000  0.00

=====

(3)
LaIr2: relaxed, PBE-GGA.

Results
Crystal system = monoclinic
ΔE_f = -0.194 eV/atom

Lattice parameters (Å, degrees): 4.824 4.824 7.315 76.19 76.19 49.41
Atoms (fractional coordinates):
La1 0.332 0.332 0.642
La2 0.668 0.668 0.358
Ir1 0.989 0.989 0.828
Ir2 0.656 0.656 0.935
Ir3 0.344 0.344 0.065
Ir4 0.011 0.011 0.172

=====

Number 1: calculated total energy -4.14 eV/atom, density of states at the Fermi level 3.29 states/eV per cell. Number 2: calculated total energy -4.09 eV/atom, density of states at the Fermi level 15.18 states/eV per cell. Number 3: calculated total energy -7.74 eV/atom, density of states at the Fermi level 7.14 states/eV per cell.